The following is a DFT calculation (PBE) of Hf2AsS2 after structural relaxation.

Summary:
For the total energy, the calculation gives -7.51 eV per atom. The calculation puts the magnetization at 0.00 μB/cell. The formation energy (no corrections) comes out at -948.4 meV per atom.

a b c (Å): 4.6245 4.6245 5.2044
angles (deg): 90.00 90.00 120.00
Space group P-3m1 (No. 164)
Inequivalent atoms, fractional coordinates:
Hf1 0.3333 0.6667 0.2890 [2 per cell]
As1 0.0000 0.0000 0.5000 [1 per cell]
S1 0.3333 0.6667 0.8030 [2 per cell]



The following is a DFT calculation (PBE) of MgPF2 after structural relaxation.

Summary:
For the total energy, the calculation gives -3.67 eV per atom. The calculation puts the magnetization at 0.00 μB/cell. For the excess energy over the best structure of this formula in the dataset, the calculation gives 1.1352 eV per atom. The formation energy (no corrections) comes out at -981.2 meV per atom.

a b c (Å): 2.9444 2.9444 23.1457
angles (deg): 90.00 90.00 120.00
Space group R-3m (No. 166, hexagonal axes)
Inequivalent atoms, fractional coordinates:
Mg1 0.0000 0.0000 0.0000 [3 per cell]
P1 0.0000 0.0000 0.5000 [3 per cell]
F1 0.0000 0.0000 0.0817 [6 per cell]



The following is a DFT calculation (PBE) of SrAc2ThAs4 after structural relaxation.

Summary:
The formation energy comes out at -1387.0 meV/atom. For the total energy, the calculation gives -5.88 eV per atom. The calculation puts the magnetization at 0.00 μB/cell.

a b c (Å): 7.6977 4.4641 7.7237
angles (deg): 90.00 109.22 90.00
Space group P2/m (No. 10)
Inequivalent atoms, fractional coordinates:
Sr1 0.0000 0.0000 0.0000 [1 per cell]
Ac1 0.5000 0.0000 0.5000 [1 per cell]
Ac2 0.5000 0.5000 0.0000 [1 per cell]
Th1 0.0000 0.5000 0.5000 [1 per cell]
As1 0.2355 0.0000 0.7360 [2 per cell]
As2 0.2421 0.5000 0.2609 [2 per cell]



The following is a DFT calculation (PBE) of PrCoNi2H8 after structural relaxation.

Summary:
For the total energy, the calculation gives -4.39 eV per atom. The calculation puts the magnetization at 0.00 μB/cell.

a b c (Å): 4.4287 4.4287 16.1829
angles (deg): 90.00 90.00 120.00
Space group R-3 (No. 148, hexagonal axes)
Inequivalent atoms, fractional coordinates:
Pr1 0.0000 0.0000 0.0000 [3 per cell]
Co1 0.0000 0.0000 0.5000 [3 per cell]
Ni1 0.0000 0.0000 0.2057 [6 per cell]
H1 0.0000 0.0000 0.3045 [6 per cell]
H2 0.0039 0.6303 0.7862 [18 per cell]



The following is a DFT calculation (PBE) of ReNiCl2 after structural relaxation.

Summary:
For the total energy, the calculation gives -4.61 eV per atom. The calculation puts the magnetization at 1.29 μB/cell. For the excess energy over the best structure of this formula in the dataset, the calculation gives 0.7999 eV per atom. The formation energy (no corrections) comes out at 871.5 meV per atom.

a b c (Å): 2.8320 4.0749 5.4337
angles (deg): 90.00 90.00 90.00
Space group Pmmm (No. 47)
Inequivalent atoms, fractional coordinates:
Re1 0.0000 0.0000 0.0000 [1 per cell]
Ni1 0.5000 0.0000 0.5000 [1 per cell]
Cl1 0.0000 0.5000 0.5000 [1 per cell]
Cl2 0.5000 0.5000 0.0000 [1 per cell]



The following is a DFT calculation (PBE) of MnRh2Br after structural relaxation.

Summary:
For the total energy, the calculation gives -5.63 eV per atom. The calculation puts the magnetization at 0.00 μB/cell. For the excess energy over the best structure of this formula in the dataset, the calculation gives 0.5334 eV per atom. The formation energy (no corrections) comes out at 759.3 meV per atom.

a b c (Å): 5.9238 5.9238 9.2683
angles (deg): 90.00 90.00 90.00
Space group I-42d (No. 122)
Inequivalent atoms, fractional coordinates:
Mn1 0.0000 0.0000 0.0000 [4 per cell]
Rh1 0.2050 0.2500 0.1250 [8 per cell]
Br1 0.0000 0.0000 0.5000 [4 per cell]



The following is a DFT calculation (PBE) of Ce2Cd15Pb2 after structural relaxation.

Summary:
The formation energy comes out at -93.0 meV/atom. For the total energy, the calculation gives -1.83 eV per atom. The calculation puts the magnetization at 6.96 μB/cell.

a b c (Å): 10.4554 10.4554 14.6619
angles (deg): 90.00 90.00 120.00
Space group R-3m (No. 166, hexagonal axes)
Inequivalent atoms, fractional coordinates:
Ce1 0.0000 0.0000 0.1649 [6 per cell]
Cd1 0.0000 0.3180 0.5000 [18 per cell]
Cd2 0.0000 0.5000 0.0000 [9 per cell]
Cd3 0.0195 0.5097 0.6564 [18 per cell]
Pb1 0.0000 0.0000 0.3950 [6 per cell]



The following is a DFT calculation (PBE) of Ag2Cl after structural relaxation.

Summary:
For the total energy, the calculation gives -2.63 eV per atom. The calculation puts the magnetization at 0.00 μB/cell. For the excess energy over the best structure of this formula in the dataset, the calculation gives 0.1125 eV per atom. The formation energy (no corrections) comes out at -108.9 meV per atom.

a b c (Å): 4.2980 19.3530 3.2679
angles (deg): 90.00 90.00 90.00
Space group Cmcm (No. 63)
Inequivalent atoms, fractional coordinates:
Ag1 0.0000 0.1338 0.2500 [4 per cell]
Ag2 0.0000 0.2690 0.7500 [4 per cell]
Cl1 0.0000 0.4079 0.2500 [4 per cell]



The following is a DFT calculation (PBE) of Cr2InAs after structural relaxation.

Summary:
The formation energy comes out at 301.5 meV/atom. For the total energy, the calculation gives -6.36 eV per atom. The calculation puts the magnetization at 0.83 μB/cell. For the excess energy over the best structure of this formula in the dataset, the calculation gives 0.1558 eV per atom.

a b c (Å): 3.0250 3.0250 24.7680
angles (deg): 90.00 90.00 120.00
Space group R3m (No. 160, hexagonal axes)
Inequivalent atoms, fractional coordinates:
Cr1 0.0000 0.0000 0.0000 [3 per cell]
Cr2 0.0000 0.0000 0.2692 [3 per cell]
In1 0.0000 0.0000 0.7575 [3 per cell]
As1 0.0000 0.0000 0.5298 [3 per cell]



The following is a DFT calculation (PBE) of TlCu2SeS after structural relaxation.

Summary:
For the total energy, the calculation gives -3.88 eV per atom. The calculation puts the magnetization at 0.00 μB/cell. The formation energy (no corrections) comes out at -246.4 meV per atom.

a b c (Å): 7.5885 3.8932 7.7146
angles (deg): 90.00 105.12 90.00
Space group P2_1/m (No. 11)
Inequivalent atoms, fractional coordinates:
Tl1 0.0625 0.2500 0.2507 [2 per cell]
Cu1 0.4929 0.2500 0.1196 [2 per cell]
Cu2 0.4997 0.2500 0.6280 [2 per cell]
Se1 0.2916 0.7500 0.5719 [2 per cell]
S1 0.3165 0.7500 0.0778 [2 per cell]



The following is a DFT calculation (PBE) of Ba2LaW after structural relaxation.

Summary:
The formation energy comes out at 1161.5 meV/atom. For the total energy, the calculation gives -4.27 eV per atom. The calculation puts the magnetization at 0.03 μB/cell. For the excess energy over the best structure of this formula in the dataset, the calculation gives 0.4276 eV per atom.

a b c (Å): 3.3610 5.6232 6.8294
angles (deg): 90.00 90.00 90.00
Space group Pmmm (No. 47)
Inequivalent atoms, fractional coordinates:
Ba1 0.0000 0.0000 0.2349 [2 per cell]
La1 0.5000 0.5000 0.5000 [1 per cell]
W1 0.5000 0.5000 0.0000 [1 per cell]



The following is a DFT calculation (PBE) of BaZr2W after structural relaxation.

Summary:
The formation energy comes out at 963.9 meV/atom. For the total energy, the calculation gives -7.03 eV per atom. The calculation puts the magnetization at 0.00 μB/cell. For the excess energy over the best structure of this formula in the dataset, the calculation gives 0.6225 eV per atom.

a b c (Å): 6.0036 2.9740 6.1064
angles (deg): 90.00 119.08 90.00
Space group P2/m (No. 10)
Inequivalent atoms, fractional coordinates:
Ba1 0.0000 0.0000 0.0000 [1 per cell]
Zr1 0.5000 0.0000 0.5000 [1 per cell]
Zr2 0.5000 0.5000 0.0000 [1 per cell]
W1 0.0000 0.5000 0.5000 [1 per cell]



The following is a DFT calculation (PBE) of NaBiSe2 after structural relaxation.

Summary:
For the total energy, the calculation gives -3.22 eV per atom. The calculation puts the magnetization at 0.00 μB/cell. The formation energy (no corrections) comes out at -176.6 meV per atom.

a b c (Å): 3.4933 3.4933 30.2199
angles (deg): 90.00 90.00 120.00
Space group R-3m (No. 166, hexagonal axes)
Inequivalent atoms, fractional coordinates:
Na1 0.0000 0.0000 0.0000 [3 per cell]
Bi1 0.0000 0.0000 0.5000 [3 per cell]
Se1 0.0000 0.0000 0.4047 [6 per cell]



The following is a DFT calculation (PBE) of CuBiI6 after structural relaxation.

Summary:
For the total energy, the calculation gives -2.32 eV per atom. The calculation puts the magnetization at 0.00 μB/cell. The formation energy (no corrections) comes out at -156.9 meV per atom.

a b c (Å): 6.8875 7.5731 8.2256
angles (deg): 80.23 69.62 83.68
Space group P-1 (No. 2)
Inequivalent atoms, fractional coordinates:
Cu1 0.0000 0.0000 0.0000 [1 per cell]
Bi1 0.5000 0.5000 0.0000 [1 per cell]
I1 0.0636 0.6978 0.1493 [2 per cell]
I2 0.2686 0.1534 0.1711 [2 per cell]
I3 0.4412 0.3788 0.4000 [2 per cell]



The following is a DFT calculation (PBE) of CuRu2Cl after structural relaxation.

Summary:
For the total energy, the calculation gives -5.56 eV per atom. The calculation puts the magnetization at 0.00 μB/cell. For the excess energy over the best structure of this formula in the dataset, the calculation gives 0.3229 eV per atom. The formation energy (no corrections) comes out at 567.4 meV per atom.

a b c (Å): 2.8287 2.8287 24.2813
angles (deg): 90.00 90.00 120.00
Space group R-3m (No. 166, hexagonal axes)
Inequivalent atoms, fractional coordinates:
Cu1 0.0000 0.0000 0.0000 [3 per cell]
Ru1 0.0000 0.0000 0.2488 [6 per cell]
Cl1 0.0000 0.0000 0.5000 [3 per cell]



The following is a DFT calculation (PBE) of Be2ReMo after structural relaxation.

Summary:
The formation energy comes out at 151.1 meV/atom. For the total energy, the calculation gives -7.53 eV per atom. The calculation puts the magnetization at 0.00 μB/cell. For the excess energy over the best structure of this formula in the dataset, the calculation gives 0.3919 eV per atom.

a b c (Å): 5.7213 5.7213 5.7213
angles (deg): 90.00 90.00 90.00
Space group Fm-3m (No. 225)
Inequivalent atoms, fractional coordinates:
Be1 0.2500 0.2500 0.2500 [8 per cell]
Re1 0.0000 0.0000 0.0000 [4 per cell]
Mo1 0.0000 0.0000 0.5000 [4 per cell]



The following is a DFT calculation (PBE) of Sc2VTc5B2 after structural relaxation.

Summary:
The formation energy comes out at -323.9 meV/atom. For the total energy, the calculation gives -9.02 eV per atom. The calculation puts the magnetization at 0.00 μB/cell.

a b c (Å): 9.3755 9.3755 3.1092
angles (deg): 90.00 90.00 90.00
Space group P4/mbm (No. 127)
Inequivalent atoms, fractional coordinates:
Sc1 0.1735 0.3265 0.0000 [4 per cell]
V1 0.0000 0.0000 0.0000 [2 per cell]
Tc1 0.0000 0.5000 0.5000 [2 per cell]
Tc2 0.0680 0.7917 0.5000 [8 per cell]
B1 0.1263 0.6263 0.0000 [4 per cell]



The following is a DFT calculation (PBE) of La6GeAs2Se3 after structural relaxation.

Summary:
For the total energy, the calculation gives -6.22 eV per atom. The calculation puts the magnetization at 0.00 μB/cell. The formation energy (no corrections) comes out at -1720.6 meV per atom.

a b c (Å): 19.0350 4.3686 8.7221
angles (deg): 90.00 103.28 90.00
Space group C2/m (No. 12)
Inequivalent atoms, fractional coordinates:
La1 0.0015 0.0000 0.2441 [4 per cell]
La2 0.1640 0.5000 0.0869 [4 per cell]
La3 0.1684 0.5000 0.5785 [4 per cell]
Ge1 0.0000 0.5000 0.0000 [2 per cell]
As1 0.1674 0.0000 0.3347 [4 per cell]
Se1 0.0000 0.5000 0.5000 [2 per cell]
Se2 0.1673 0.0000 0.8325 [4 per cell]



The following is a DFT calculation (PBE) of Pr3Nd2Er2 after structural relaxation.

Summary:
The formation energy comes out at 15.9 meV/atom. For the total energy, the calculation gives -4.70 eV per atom. The calculation puts the magnetization at 0.00 μB/cell. For the excess energy over the best structure of this formula in the dataset, the calculation gives 0.0000 eV per atom.

a b c (Å): 3.6570 6.2996 10.9224
angles (deg): 95.62 90.04 106.80
Space group P-1 (No. 2)
Inequivalent atoms, fractional coordinates:
Pr1 0.0000 0.0000 0.0000 [1 per cell]
Pr2 0.1421 0.2830 0.5703 [2 per cell]
Nd1 0.2839 0.5676 0.1439 [2 per cell]
Er1 0.4287 0.8576 0.7140 [2 per cell]



The following is a DFT calculation (PBE) of AsHS2Cl after structural relaxation.

Summary:
For the total energy, the calculation gives -2.92 eV per atom. The calculation puts the magnetization at 0.38 μB/cell. For the excess energy over the best structure of this formula in the dataset, the calculation gives 0.8580 eV per atom.

a b c (Å): 3.7810 3.7810 5.6188
angles (deg): 90.00 90.00 90.00
Space group P4/mmm (No. 123)
Inequivalent atoms, fractional coordinates:
As1 0.0000 0.0000 0.0000 [1 per cell]
H1 0.5000 0.5000 0.5000 [1 per cell]
S1 0.0000 0.5000 0.5000 [2 per cell]
Cl1 0.5000 0.5000 0.0000 [1 per cell]